1.
First-principles (PBE) data for CuAg2RhO after structural relaxation, as listed in the Alexandria database.

Cell: 4.743 4.575 4.743 Å, 90.00 90.00 90.00°
Site moments in Bohr magnetons follow the coordinates.
Element x y z (fractional)
O1 0.500 0.500 0.500  0.79
Cu1 0.000 0.000 0.000  0.12
Ag1 0.500 0.000 0.000  -0.02
Rh1 0.000 0.500 0.000  1.04
Ag2 0.000 0.000 0.500  0.00

Summary:
N(E_F), states/eV/atom: 0.98
E_form (uncorrected), kJ/mol of formula units: 609
Total moment, μB/cell: 2.03
Symmetry: P4/mmm, No. 123

2.
First-principles (PBE) data for CuAg2RhO4 after structural relaxation, as listed in the Alexandria database.

Cell: 5.163 5.972 5.321 Å, 125.99 121.02 86.90°
Element x y z (fractional)
Rh1 0.781 0.781 0.562
Cu1 0.953 0.453 0.907
O1 0.053 0.105 0.702
O2 0.374 0.777 0.228
O3 0.649 0.597 0.702
Ag1 0.221 0.221 0.442
O4 0.854 0.451 0.227
Ag2 0.502 0.002 0.004

Summary:
N(E_F), states/eV/atom: 0.81
E_form (uncorrected), kJ/mol of formula units: -151
Total moment, μB/cell: 0.00
Symmetry: C2, No. 5

3.
First-principles (PBE) data for CuAgRuO4 after structural relaxation, as listed in the Alexandria database.

Cell: 5.705 6.540 6.166 Å, 118.13 90.00 115.86°
Site moments in Bohr magnetons follow the coordinates.
Element x y z (fractional)
Cu1 0.000 0.500 0.500  -0.19
Ag1 0.831 0.661 0.081  0.05
O1 0.699 0.397 0.651  -0.02
O2 0.699 0.397 0.246  -0.02
O3 0.268 0.973 0.236  0.15
O4 0.295 0.027 0.764  0.15
O5 0.301 0.603 0.754  -0.02
Ru1 0.500 0.000 0.500  1.28
Ru2 0.500 0.000 0.000  1.28
O6 0.301 0.603 0.349  -0.02
Cu2 0.500 0.500 0.500  -0.19
O7 0.732 0.027 0.764  0.15
Ag2 0.169 0.339 0.919  0.05
O8 0.705 0.973 0.236  0.15

Summary:
N(E_F), states/eV/atom: 0.47
E_form (uncorrected), kJ/mol of formula units: -394
Total moment, μB/cell: 3.01
Symmetry: Imma, No. 74

4.
First-principles (PBE) data for CuAg2RuO4 after structural relaxation, as listed in the Alexandria database.

Cell: 5.073 5.627 5.526 Å, 120.37 118.58 91.04°
Site moments in Bohr magnetons follow the coordinates.
Element x y z (fractional)
Ru1 0.740 0.695 0.469  0.57
Cu1 0.891 0.424 0.821  0.04
O1 0.862 0.445 0.204  0.08
O2 0.770 0.751 0.846  0.09
Ag1 0.228 0.197 0.452  0.02
O3 0.379 0.733 0.193  0.03
Ag2 0.503 0.058 0.087  0.01
O4 0.013 0.084 0.703  0.06

Summary:
N(E_F), states/eV/atom: 0.18
E_form (uncorrected), kJ/mol of formula units: -275
Total moment, μB/cell: 0.97
Symmetry: P1, No. 1

5.
First-principles (PBE) data for CuAgS2O8 after structural relaxation, as listed in the Alexandria database.

Cell: 4.726 4.726 8.140 Å, 73.13 73.13 60.00°
Site moments in Bohr magnetons follow the coordinates.
Element x y z (fractional)
O1 0.806 0.806 0.582  0.10
O2 0.194 0.194 0.418  0.10
O3 0.262 0.988 0.163  0.12
O4 0.413 0.738 0.837  0.12
O5 0.738 0.012 0.837  0.12
O6 0.587 0.262 0.163  0.12
Ag1 0.500 0.500 0.500  0.05
S1 0.258 0.258 0.225  -0.01
S2 0.742 0.742 0.775  -0.01
Cu1 0.000 0.000 0.000  0.86
O7 0.012 0.413 0.837  0.12
O8 0.988 0.587 0.163  0.12

Summary:
N(E_F), states/eV/atom: 0.11
E_form (uncorrected), kJ/mol of formula units: -1064
Total moment, μB/cell: 1.99
Symmetry: R-3, No. 148

6.
First-principles (PBE) data for Cu2AgS2O10 after structural relaxation, as listed in the Alexandria database.

Cell: 5.368 5.368 8.453 Å, 64.74 64.74 70.27°
Site moments in Bohr magnetons follow the coordinates.
Element x y z (fractional)
Cu1 0.000 0.500 0.000  0.10
O1 0.843 0.245 0.245  0.00
Ag1 0.500 0.500 0.500  0.01
S1 0.926 0.926 0.289  0.00
O2 0.653 0.653 0.987  0.34
O3 0.347 0.347 0.013  0.34
O4 0.842 0.842 0.177  0.00
O5 0.157 0.755 0.755  0.00
S2 0.074 0.074 0.711  0.00
O6 0.158 0.158 0.823  0.00
Cu2 0.500 0.000 0.000  0.10
O7 0.203 0.203 0.512  0.00
O8 0.797 0.797 0.488  0.00
O9 0.755 0.157 0.755  0.00
O10 0.245 0.843 0.245  0.00

Summary:
N(E_F), states/eV/atom: 0.25
E_form (uncorrected), kJ/mol of formula units: -1101
Total moment, μB/cell: 1.02
Symmetry: C2/m, No. 12

7.
First-principles (PBE) data for CuAgSO2 after structural relaxation, as listed in the Alexandria database.

Cell: 3.604 6.600 3.604 Å, 90.00 90.00 90.00°
Site moments in Bohr magnetons follow the coordinates.
Element x y z (fractional)
O1 0.000 0.000 0.500  0.36
S1 0.500 0.500 0.500  0.23
O2 0.500 0.000 0.000  0.81
Ag1 0.000 0.500 0.000  0.06
Cu1 0.000 0.000 0.000  0.30

Summary:
N(E_F), states/eV/atom: 1.13
E_form (uncorrected), kJ/mol of formula units: 134
Total moment, μB/cell: 2.09
Symmetry: P4/mmm, No. 123

8.
First-principles (PBE) data for CuAgSeO4 after structural relaxation, as listed in the Alexandria database.

Cell: 5.774 5.774 5.241 Å, 123.43 123.43 90.00°
Site moments in Bohr magnetons follow the coordinates.
Element x y z (fractional)
O1 0.905 0.459 0.208  0.00
O2 0.541 0.697 0.792  0.00
O3 0.252 0.095 0.792  0.00
Se1 0.250 0.750 0.500  0.00
Cu1 0.500 0.500 0.000  0.08
O4 0.303 0.748 0.208  0.00
Ag1 0.000 0.000 0.000  0.00

Summary:
N(E_F), states/eV/atom: 0.46
E_form (uncorrected), kJ/mol of formula units: -290
Total moment, μB/cell: 0.09
Symmetry: I-4, No. 82

9.
First-principles (PBE) data for CuAgSe2O8 after structural relaxation, as listed in the Alexandria database.

Cell: 4.903 4.903 8.273 Å, 72.76 72.76 60.00°
Site moments in Bohr magnetons follow the coordinates.
Element x y z (fractional)
Se1 0.259 0.259 0.224  0.00
O1 0.187 0.187 0.438  0.07
Se2 0.741 0.741 0.776  0.00
O2 0.732 0.041 0.843  0.13
O3 0.041 0.384 0.843  0.13
Ag1 0.500 0.500 0.500  0.03
Cu1 0.000 0.000 0.000  0.87
O4 0.813 0.813 0.562  0.07
O5 0.959 0.616 0.157  0.13
O6 0.384 0.732 0.843  0.13
O7 0.616 0.268 0.157  0.13
O8 0.268 0.959 0.157  0.13

Summary:
N(E_F), states/eV/atom: 0.01
E_form (uncorrected), kJ/mol of formula units: -457
Total moment, μB/cell: 1.95
Symmetry: R-3, No. 148

10.
First-principles (PBE) data for CuAg2Se2O6 after structural relaxation, as listed in the Alexandria database.

Cell: 5.323 6.690 8.591 Å, 133.75 90.00 113.44°
Site moments in Bohr magnetons follow the coordinates.
Element x y z (fractional)
O1 0.255 0.511 0.626  0.01
Cu1 0.500 0.000 0.500  0.53
O2 0.796 0.095 0.714  0.08
O3 0.701 0.905 0.286  0.08
Se1 0.930 0.859 0.665  0.02
Se2 0.070 0.141 0.335  0.02
O4 0.299 0.095 0.714  0.08
Ag1 0.328 0.657 0.952  0.02
Ag2 0.672 0.343 0.048  0.02
O5 0.745 0.489 0.374  0.01
O6 0.204 0.905 0.286  0.08

Summary:
E_form (uncorrected), kJ/mol of formula units: -570
Total moment, μB/cell: 1.00
Symmetry: C2/m, No. 12

11.
First-principles (PBE) data for CuAg2SnO4 after structural relaxation, as listed in the Alexandria database.

Cell: 5.945 5.785 5.176 Å, 121.13 122.29 94.18°
Site moments in Bohr magnetons follow the coordinates.
Element x y z (fractional)
Ag1 0.482 0.982 0.964  0.01
O1 0.397 0.834 0.347  0.07
Sn1 0.982 0.482 0.964  0.01
O2 0.960 0.091 0.589  0.07
O3 0.950 0.513 0.347  0.07
O4 0.629 0.498 0.589  0.07
Ag2 0.270 0.270 0.540  0.04
Cu1 0.717 0.717 0.434  0.47

Summary:
N(E_F), states/eV/atom: 0.17
E_form (uncorrected), kJ/mol of formula units: -464
Total moment, μB/cell: 0.86
Symmetry: C2, No. 5

12.
First-principles (PBE) data for SrCu2AgO after structural relaxation, as listed in the Alexandria database.

Cell: 5.367 5.931 5.367 Å, 90.00 90.00 90.00°
Element x y z (fractional)
O1 0.500 0.500 0.500
Ag1 0.000 0.500 0.000
Cu1 0.000 0.000 0.500
Cu2 0.500 0.000 0.000
Sr1 0.000 0.000 0.000

Summary:
N(E_F), states/eV/atom: 2.16
E_form (uncorrected), kJ/mol of formula units: 833
Relative energy among the computed polymorphs, eV per formula unit: 5.328
Total moment, μB/cell: 0.00
Symmetry: P4/mmm, No. 123

13.
First-principles (PBE) data for SrCu2AgO after structural relaxation, as listed in the Alexandria database.

Cell: 5.534 4.270 5.534 Å, 90.00 90.00 90.00°
Element x y z (fractional)
Cu1 0.000 0.000 0.500
Sr1 0.000 0.000 0.000
O1 0.000 0.500 0.000
Cu2 0.500 0.000 0.000
Ag1 0.500 0.500 0.500

Summary:
N(E_F), states/eV/atom: 0.83
E_form (uncorrected), kJ/mol of formula units: 319
Relative energy among the computed polymorphs, eV per formula unit: 0.000
Total moment, μB/cell: 0.00
Symmetry: P4/mmm, No. 123

14.
First-principles (PBE) data for Sr2CuAgO5 after structural relaxation, as listed in the Alexandria database.

Cell: 3.371 6.943 11.167 Å, 90.00 90.00 104.05°
Site moments in Bohr magnetons follow the coordinates.
Element x y z (fractional)
Cu1 0.224 0.448 0.030  0.64
Sr1 0.088 0.177 0.657  0.01
O1 0.082 0.164 0.069  0.40
Ag1 0.463 0.926 0.447  0.09
Sr2 0.912 0.823 0.157  0.01
O2 0.306 0.613 0.417  0.34
O3 0.623 0.246 0.487  -0.01
Sr3 0.854 0.707 0.797  0.00
O4 0.507 0.014 0.270  0.02
O5 0.493 0.986 0.770  0.02
O6 0.265 0.530 0.650  0.36
O7 0.735 0.470 0.150  0.36
O8 0.918 0.836 0.569  0.40
Cu2 0.776 0.552 0.530  0.64
Ag2 0.537 0.074 0.947  0.09
O9 0.694 0.387 0.917  0.34
Sr4 0.146 0.293 0.297  0.00
O10 0.377 0.754 0.987  -0.01

Summary:
N(E_F), states/eV/atom: 0.35
E_form (uncorrected), kJ/mol of formula units: -1084
Total moment, μB/cell: 4.07
Symmetry: Cmc2_1, No. 36

15.
First-principles (PBE) data for Sr2CuAg2O6 after structural relaxation, as listed in the Alexandria database.

Cell: 6.083 6.083 6.318 Å, 61.22 61.22 60.00°
Element x y z (fractional)
O1 0.804 0.222 0.752
O2 0.778 0.196 0.248
Ag1 0.410 0.410 0.770
O3 0.196 0.778 0.248
O4 0.778 0.778 0.248
Ag2 0.590 0.590 0.230
Sr1 0.790 0.790 0.630
O5 0.222 0.804 0.752
Cu1 0.000 0.000 0.000
O6 0.222 0.222 0.752
Sr2 0.210 0.210 0.370

Summary:
N(E_F), states/eV/atom: 0.96
E_form (uncorrected), kJ/mol of formula units: -947
Total moment, μB/cell: 0.00
Symmetry: R-3m, No. 166

16.
First-principles (PBE) data for SrCuAgO2 after structural relaxation, as listed in the Alexandria database.

Cell: 4.015 6.879 7.011 Å, 119.38 90.00 90.00°
Element x y z (fractional)
Cu1 0.000 0.000 0.000
Cu2 0.000 0.500 0.000
O1 0.768 0.630 0.259
Ag1 0.500 0.250 0.000
O2 0.768 0.870 0.741
Ag2 0.500 0.750 0.000
Sr1 0.271 0.750 0.500
Sr2 0.729 0.250 0.500
O3 0.232 0.130 0.259
O4 0.232 0.370 0.741

Summary:
E_form (uncorrected), kJ/mol of formula units: -554
Total moment, μB/cell: 0.00
Symmetry: Cmme, No. 67

17.
First-principles (PBE) data for TaCuAg2O4 after structural relaxation, as listed in the Alexandria database.

Cell: 5.896 5.896 5.896 Å, 76.58 128.03 128.03°
Site moments in Bohr magnetons follow the coordinates.
Element x y z (fractional)
Ag1 0.000 0.000 0.000  0.00
Ag2 0.500 0.750 0.250  0.00
Cu1 0.000 0.500 0.500  0.20
O1 0.917 0.548 0.104  0.01
O2 0.444 0.896 0.812  0.01
O3 0.556 0.368 0.452  0.01
O4 0.083 0.188 0.632  0.01
Ta1 0.500 0.250 0.750  -0.01

Summary:
N(E_F), states/eV/atom: 0.71
E_form (uncorrected), kJ/mol of formula units: -929
Total moment, μB/cell: 0.24
Symmetry: I-4, No. 82

18.
First-principles (PBE) data for CuTcAg2O4 after structural relaxation, as listed in the Alexandria database.

Cell: 4.258 7.819 6.425 Å, 134.71 107.39 89.32°
Element x y z (fractional)
O1 0.838 0.459 0.196
Ag1 0.678 0.068 0.218
Ag2 0.346 0.386 0.588
O2 0.985 0.008 0.665
O3 0.324 0.673 0.154
Cu1 0.949 0.335 0.825
Tc1 0.686 0.722 0.436
O4 0.581 0.736 0.693

Summary:
N(E_F), states/eV/atom: 0.11
E_form (uncorrected), kJ/mol of formula units: -507
Total moment, μB/cell: 0.00
Symmetry: P1, No. 1

19.
First-principles (PBE) data for CuTc2AgO8 after structural relaxation, as listed in the Alexandria database.

Cell: 5.828 5.828 6.346 Å, 90.00 90.00 120.00°
Site moments in Bohr magnetons follow the coordinates.
Element x y z (fractional)
O1 0.169 0.835 0.703  0.00
O2 0.835 0.666 0.297  0.00
O3 0.165 0.334 0.703  0.00
Ag1 0.000 0.000 0.000  0.00
O4 0.334 0.169 0.297  0.00
Cu1 0.000 0.000 0.500  0.12
O5 0.333 0.667 0.061  0.00
O6 0.666 0.831 0.703  0.00
Tc1 0.667 0.333 0.211  -0.01
O7 0.667 0.333 0.939  0.00
O8 0.831 0.165 0.297  0.00
Tc2 0.333 0.667 0.789  -0.01

Summary:
E_form (uncorrected), kJ/mol of formula units: -1241
Total moment, μB/cell: 0.12
Symmetry: P-3, No. 147

20.
First-principles (PBE) data for CuTcAgO5 after structural relaxation, as listed in the Alexandria database.

Cell: 5.946 5.946 7.055 Å, 102.71 102.71 96.79°
Site moments in Bohr magnetons follow the coordinates.
Element x y z (fractional)
O1 0.733 0.600 0.419  0.00
Ag1 0.316 0.684 0.250  0.01
O2 0.890 0.298 0.110  0.00
O3 0.930 0.070 0.750  0.17
Ag2 0.684 0.316 0.750  0.01
Cu1 0.000 0.000 0.000  0.12
Tc1 0.676 0.324 0.250  -0.01
Cu2 0.000 0.000 0.500  0.12
Tc2 0.324 0.676 0.750  -0.01
O4 0.400 0.267 0.081  0.00
O5 0.070 0.930 0.250  0.17
O6 0.702 0.110 0.390  0.00
O7 0.110 0.702 0.890  0.00
O8 0.600 0.733 0.919  0.00
O9 0.267 0.400 0.581  0.00
O10 0.298 0.890 0.610  0.00

Summary:
N(E_F), states/eV/atom: 0.24
E_form (uncorrected), kJ/mol of formula units: -624
Total moment, μB/cell: 0.63
Symmetry: C2/c, No. 15